V2TeHF PBE+U relaxed; total magnetic moment = 5.903 μB per formula unit; calculated density = 4.124 g cm⁻³; E = -4.1447 eV per atom
1.0
4.174 0.000 0.000
0.000 4.174 0.000
0.000 0.000 5.765
V Te H F
2 1 1 1
Direct
0.000 0.500 0.000
0.500 0.000 0.000
0.000 0.000 0.500
0.500 0.500 0.500
0.000 0.000 0.000